BaLi4Cd after structural relaxation, computed with PBE-GGA.

It has space group P-1 (No. 2), with a = 5.206 Å, b = 5.206 Å, c = 7.763 Å, α = 90.31°, β = 90.05° and γ = 90.00°. The asymmetric unit holds Ba at (0.000, 0.000, 0.000), Li at (0.000, 0.500, 0.500), Li at (0.500, 0.000, 0.500), Li at (0.500, 0.499, 0.827) and Cd at (0.500, 0.500, 0.500).

For the uncorrected energy, the calculation gives -1.593 eV/atom. The formation energy is 15 kJ per mole of atoms. Its energy above the lowest structure with this stoichiometry is 0.225 eV/atom.

BaLiCd2 after structural relaxation, computed with PBE-GGA.

It has space group Fm-3m (No. 225), with a = 7.894 Å, b = 7.894 Å, c = 7.894 Å, α = 90.00°, β = 90.00° and γ = 90.00°. The asymmetric unit holds Ba at (0.000, 0.000, 0.000), Li at (0.000, 0.000, 0.500) and Cd at (0.250, 0.250, 0.250).

For the uncorrected energy, the calculation gives -1.592 eV/atom. The formation energy is -17 kJ per mole of atoms. Its energy above the lowest structure with this stoichiometry is 0.090 eV/atom.

Among the records above, which one has the lowest uncorrected energy? BaLi4Cd

Which value of energy above the lowest structure with this stoichiometry does entry 1 give? 0.225 eV/atom